# 1
Density functional theory data (GGA-PBEsol) for a geometry-optimized ScTiCdSb2 structure.

It has space group P4/mmm (No. 123), with a = 5.3671 Å, b = 5.3671 Å, c = 4.9573 Å, α = 90.00°, β = 90.00° and γ = 90.00°. Symmetry generates all atoms from Sc at (0.0000, 0.0000, 0.0000), Ti at (0.5000, 0.5000, 0.0000), Cd at (0.5000, 0.5000, 0.5000) and Sb at (0.0000, 0.5000, 0.5000).

For the calculated density, the calculation gives 5.218 g/cm³. The calculated total energy is -4.233 eV/atom. The formation energy without anion corrections comes out at 815 meV/atom.

---

# 2
Density functional theory data (GGA-PBEsol) for a geometry-optimized LiCrRu2 structure.

It has space group Immm (No. 71), with a = 2.8237 Å, b = 4.4111 Å, c = 8.1358 Å, α = 90.00°, β = 90.00° and γ = 90.00°. Symmetry generates all atoms from Li at (0.0000, 0.0000, 0.0000), Cr at (0.0000, 0.0000, 0.5000) and Ru at (0.0000, 0.5000, 0.2315).

For the calculated density, the calculation gives 8.556 g/cm³. The calculated total energy is -7.877 eV/atom.